NbNiIrPt2 | PBE | optimized geometry

DOS at the Fermi energy, states/eV/atom: 1.28
Calculated formation energy, meV/atom: 1521
V, Å³/cell: 101

Cell and atoms, written as CIF:
```
data_NbNiIrPt2
_symmetry_space_group_name_H-M 'P 4/m m m'
_symmetry_Int_Tables_number 123
_symmetry_space_group_name_Hall '-P 4 2'
_cell_length_a 4.7772
_cell_length_b 4.7772
_cell_length_c 4.4080
_cell_angle_alpha 90.00
_cell_angle_beta 90.00
_cell_angle_gamma 90.00
loop_
_atom_site_label
_atom_site_type_symbol
_atom_site_fract_x
_atom_site_fract_y
_atom_site_fract_z
Nb1 Nb 0.0000 0.0000 0.0000
Ni1 Ni 0.0000 0.0000 0.5000
Ir1 Ir 0.5000 0.5000 0.5000
Pt1 Pt 0.0000 0.5000 0.0000
```